# BaTeW2O9 GGA+U relaxed
# - Mass density: 6.68 g/cm³
# - Total energy: -179.8 eV for the cell shown
# - Spin magnetization: 0.0000 μB/atom
data_BaTeW2O9
_space_group_name_H-M_alt 'P 1 21 1'
_space_group_IT_number 4
_cell_length_a 5.5988
_cell_length_b 7.6090
_cell_length_c 9.0633
_cell_angle_alpha 90.00
_cell_angle_beta 90.03
_cell_angle_gamma 90.00
loop_
_space_group_symop_operation_xyz
'x,y,z'
'-x,y+1/2,-z'
loop_
_atom_site_label
_atom_site_type_symbol
_atom_site_fract_x
_atom_site_fract_y
_atom_site_fract_z
Ba1 Ba 0.2408 0.0000 0.0600
Te1 Te 0.3700 0.7476 0.6008
W1 W 0.2169 0.4902 0.2458
W2 W 0.2425 0.3070 0.6769
O1 O 0.0042 0.9564 0.3283
O2 O 0.0286 0.3162 0.1764
O3 O 0.0489 0.0990 0.6435
O4 O 0.2198 0.6318 0.0876
O5 O 0.2954 0.2805 0.8718
O6 O 0.3045 0.3315 0.4448
O7 O 0.4375 0.6690 0.3775
O8 O 0.4703 0.5266 0.6793
O9 O 0.4806 0.8695 0.7943